MgPdNF2: relaxed, PBE-GGA.

Cell lengths 3.6046, 3.6046, 5.1489 Å; angles 90.00, 90.00, 90.00 degrees
With the nearest neighbours (Å) after each atom.
Atoms (fractional coordinates):
Mg 0.0000 0.0000 0.0000  4 F 1.80
Pd 0.5000 0.5000 0.5000  4 N 2.55
N 0.0000 0.0000 0.5000  4 Pd 2.55, 2 Mg 2.57
F 0.0000 0.5000 0.0000  2 Mg 1.80
F 0.5000 0.0000 0.0000  2 Mg 1.80

Summary:
symmetry = P4/mmm
DOS(E_F) = 2.67 states/eV/cell
mass density = 4.5 g cm⁻³
formation energy (no corrections) = -4.2 eV per formula unit
ΔE to the lowest computed polymorph = 0.00 eV/f.u.